VASP calculation (PBE+U) on NiAgF2 after structural relaxation.

Results
- Total energy: -3.697 eV per atom
- Excess energy over the best structure of this formula in the dataset: 0.00 eV/f.u.

a b c (Å): 8.674 8.674 8.674
angles (deg): 19.93 19.93 19.93
Fractional coordinates of all 4 atoms:
Ni (0.000, 0.000, 0.000)
Ag (0.500, 0.500, 0.500)
F (0.374, 0.374, 0.374)
F (0.626, 0.626, 0.626)